This record from Alexandria via LeMat-Bulk describes a relaxed CsHfMnO4 crystal. The functional is PBE+U.

Results
Total magnetic moment = 4.00 μB/f.u.
Calculated density = 5.65 g/cm³
Final energy = -0.28405 hartree per atom
Space-group type = P2_1/m (11)

Geometry as POSCAR:
```
CsHfMnO4
1.0
5.842 0.000 0.000
0.000 5.829 0.000
-1.298 0.000 7.431
Cs Hf Mn O
2 2 2 8
Direct
0.192 0.250 0.091
0.808 0.750 0.909
0.142 0.750 0.471
0.858 0.250 0.529
0.400 0.250 0.649
0.600 0.750 0.351
0.133 0.022 0.651
0.133 0.478 0.651
0.288 0.750 0.240
0.500 0.250 0.432
0.500 0.750 0.568
0.712 0.250 0.760
0.867 0.522 0.349
0.867 0.978 0.349
```